Record 1
Here is a geometry-optimized Te2PPb structure from the Alexandria database. Energies are from PBE.

abc: 4.317 4.317 6.681
angles: 90.00 90.00 90.00
Space group P4mm (No. 99)
Symmetry-distinct sites (fractional):
Te 0.000 0.000 0.000 [1 per cell]
Te 0.500 0.500 0.390 [1 per cell]
P 0.000 0.000 0.380 [1 per cell]
Pb 0.500 0.500 0.871 [1 per cell]

## Properties
energy relative to the lowest polymorph listed for this composition = 99 meV/atom
size of the total moment = 0.00 μB per formula unit
E_form (uncorrected) = 112 meV/atom
V = 31.13 A^3/atom
energy = -3.738 eV/atom

Record 2
Here is a geometry-optimized TePPb structure from the Alexandria database. Energies are from PBE.

abc: 7.015 7.015 7.015
angles: 90.00 90.00 90.00
Space group F-43m (No. 216)
Symmetry-distinct sites (fractional):
Te 0.000 0.000 0.000 [4 per cell]
P 0.250 0.250 0.250 [4 per cell]
Pb 0.000 0.000 0.500 [4 per cell]

## Properties
energy relative to the lowest polymorph listed for this composition = 292 meV/atom
size of the total moment = 0.00 μB per formula unit
E_form (uncorrected) = 342 meV/atom
V = 28.76 A^3/atom
energy = -3.744 eV/atom

Which of these has the lowest E_form (uncorrected)? Te2PPb

Which formula does entry 2 have? TePPb

Which of these has the lowest energy? TePPb

Please write out number 1 again, unchanged.
Here is a geometry-optimized Te2PPb structure from the Alexandria database. Energies are from PBE.

abc: 4.317 4.317 6.681
angles: 90.00 90.00 90.00
Space group P4mm (No. 99)
Symmetry-distinct sites (fractional):
Te 0.000 0.000 0.000 [1 per cell]
Te 0.500 0.500 0.390 [1 per cell]
P 0.000 0.000 0.380 [1 per cell]
Pb 0.500 0.500 0.871 [1 per cell]

## Properties
energy relative to the lowest polymorph listed for this composition = 99 meV/atom
size of the total moment = 0.00 μB per formula unit
E_form (uncorrected) = 112 meV/atom
V = 31.13 A^3/atom
energy = -3.738 eV/atom